Density functional theory data (PBE) for an optimized crystal structure of CaHoTi2O6.

For the formation energy (no corrections), the calculation gives -3.21 eV per atom.

abc: 7.699 5.579 5.361
angles: 90.00 90.00 90.00
Space group Pmn2_1 (No. 31)
One atom of each set of equivalent atoms:
Ca: 0.000 0.197 0.000 [2 per cell]
Ho: 0.000 0.685 0.528 [2 per cell]
Ti: 0.250 0.247 0.512 [4 per cell]
O: 0.000 0.283 0.425 [2 per cell]
O: 0.000 0.779 0.120 [2 per cell]
O: 0.196 0.945 0.703 [4 per cell]
O: 0.202 0.460 0.805 [4 per cell]